1.
! Zn2BiPt2 | the Alexandria database | GGA-PBE | relaxed; values from VASP
! - Excess energy over the best structure of this formula in the dataset: 24 meV per atom
! - Calculated volume: 175.90 Å³ per cell
&SYSTEM
  ibrav = 0, nat = 10, ntyp = 3
/
ATOMIC_SPECIES
Zn 65.41 Zn.upf
Bi 208.98 Bi.upf
Pt 195.08 Pt.upf
ATOMIC_POSITIONS crystal
Zn 0.3779 0.8779 0.0000
Zn 0.8779 0.6221 0.0000
Zn 0.6221 0.1221 0.0000
Zn 0.1221 0.3779 0.0000
Bi 0.0000 0.0000 0.0000
Bi 0.5000 0.5000 0.0000
Pt 0.1707 0.6707 0.5000
Pt 0.6707 0.8293 0.5000
Pt 0.8293 0.3293 0.5000
Pt 0.3293 0.1707 0.5000
CELL_PARAMETERS angstrom
-2.2373 -6.5249 -3.4663
5.1209 -3.9801 4.1869
-2.0363 -0.4152 2.0959


2.
! SrCu6Ge4 | the Alexandria database | GGA-PBE | relaxed; values from VASP
! - Uncorrected energy: -4.162 eV per atom
! - Calculated volume: 175.37 Å³ per cell
&SYSTEM
  ibrav = 0, nat = 11, ntyp = 3
/
ATOMIC_SPECIES
Sr 87.62 Sr.upf
Cu 63.55 Cu.upf
Ge 72.64 Ge.upf
ATOMIC_POSITIONS crystal
Sr 0.0000 0.0000 0.0000
Cu 0.0000 0.5403 0.0805
Cu 0.5000 0.5796 0.7898
Cu 0.0000 0.5403 0.4597
Cu 0.0000 0.9195 0.4597
Cu 0.5000 0.2102 0.7898
Cu 0.5000 0.2102 0.4204
Ge 0.5000 0.8034 0.6067
Ge 0.5000 0.3933 0.1966
Ge 0.5000 0.8034 0.1966
Ge 0.0000 0.3333 0.6667
CELL_PARAMETERS angstrom
4.0937 0.0000 0.0000
0.0000 7.0332 0.0000
0.0000 -3.5166 6.0909


3.
! Ag2PAuBr | the Alexandria database | GGA-PBE | relaxed; values from VASP
! - Raw formation energy: 1061 meV per atom
! - Calculated volume: 128.71 Å³ per cell
&SYSTEM
  ibrav = 0, nat = 5, ntyp = 4
/
ATOMIC_SPECIES
P 30.97 P.upf
Au 196.97 Au.upf
Br 79.90 Br.upf
Ag 107.87 Ag.upf
ATOMIC_POSITIONS crystal
P 0.0000 0.5000 0.0000
Au 0.5000 0.5000 0.5000
Br 0.0000 0.0000 0.0000
Ag 0.0000 0.0000 0.5000
Ag 0.5000 0.0000 0.0000
CELL_PARAMETERS angstrom
5.0458 0.0000 0.0000
0.0000 5.0554 0.0000
0.0000 0.0000 5.0458


4.
! LiTl6Pb12 | the Alexandria database | GGA-PBE | relaxed; values from VASP
! - Uncorrected energy: -3.152 eV per atom
! - Calculated volume: 614.54 Å³ per cell
&SYSTEM
  ibrav = 0, nat = 19, ntyp = 3
/
ATOMIC_SPECIES
Li 6.94 Li.upf
Tl 204.38 Tl.upf
Pb 207.20 Pb.upf
ATOMIC_POSITIONS crystal
Li 0.0000 0.0000 0.0000
Tl 0.0778 0.1939 0.4723
Tl 0.8061 0.5277 0.9222
Tl 0.5277 0.9222 0.8061
Tl 0.9222 0.8061 0.5277
Tl 0.1939 0.4723 0.0778
Tl 0.4723 0.0778 0.1939
Pb 0.4729 0.1869 0.5878
Pb 0.1869 0.5878 0.4729
Pb 0.5878 0.4729 0.1869
Pb 0.5271 0.8131 0.4122
Pb 0.8131 0.4122 0.5271
Pb 0.4122 0.5271 0.8131
Pb 0.2653 0.1406 0.8494
Pb 0.1506 0.7347 0.8594
Pb 0.8594 0.1506 0.7347
Pb 0.7347 0.8594 0.1506
Pb 0.8494 0.2653 0.1406
Pb 0.1406 0.8494 0.2653
CELL_PARAMETERS angstrom
8.6589 -0.3356 -2.1865
-2.7270 8.2251 -2.1865
-0.2523 -0.3356 8.9271


5.
! Re2PtAu | the Alexandria database | GGA-PBE | relaxed; values from VASP
! - Excess energy over the best structure of this formula in the dataset: 217 meV per atom
! - Calculated volume: 62.46 Å³ per cell
&SYSTEM
  ibrav = 0, nat = 4, ntyp = 3
/
ATOMIC_SPECIES
Au 196.97 Au.upf
Pt 195.08 Pt.upf
Re 186.21 Re.upf
ATOMIC_POSITIONS crystal
Au 0.5000 0.5000 0.5000
Pt 0.0000 0.0000 0.5000
Re 0.0000 0.0000 0.0000
Re 0.5000 0.5000 0.0000
CELL_PARAMETERS angstrom
2.7865 0.0000 0.0000
0.0000 4.8231 0.0019
0.0000 3.2253 4.6485


6.
! LiMn2Ni | the Alexandria database | GGA-PBE | relaxed; values from VASP
! - Uncorrected energy: -6.262 eV per atom
! - Calculated volume: 42.95 Å³ per cell
&SYSTEM
  ibrav = 0, nat = 4, ntyp = 3
/
ATOMIC_SPECIES
Li 6.94 Li.upf
Mn 54.94 Mn.upf
Ni 58.69 Ni.upf
ATOMIC_POSITIONS crystal
Li 0.5000 0.7500 0.7500
Mn 0.0000 0.0035 0.9943
Mn 0.0000 0.4965 0.5057
Ni 0.5000 0.2500 0.2500
CELL_PARAMETERS angstrom
-3.7844 -1.5066 -0.4745
0.8462 -2.1826 0.1815
-0.1771 -0.9752 4.5092


7.
! La2Ho2Mg | the Alexandria database | GGA-PBE | relaxed; values from VASP
! - Excess energy over the best structure of this formula in the dataset: 4 meV per atom
! - Calculated volume: 323.76 Å³ per cell
&SYSTEM
  ibrav = 0, nat = 10, ntyp = 3
/
ATOMIC_SPECIES
La 138.91 La.upf
Ho 164.93 Ho.upf
Mg 24.30 Mg.upf
ATOMIC_POSITIONS crystal
La 0.7638 0.5277 0.7620
La 0.2362 0.4723 0.2380
La 0.0823 0.1646 0.8654
La 0.9177 0.8354 0.1346
Ho 0.1512 0.3024 0.5496
Ho 0.8488 0.6976 0.4504
Ho 0.5399 0.0798 0.3474
Ho 0.4601 0.9202 0.6526
Mg 0.3753 0.7506 0.9421
Mg 0.6247 0.2494 0.0579
CELL_PARAMETERS angstrom
-4.1919 2.6224 -1.8526
-0.6065 -6.3264 -0.0577
-3.6326 1.2192 9.9450


8.
! RbAl2Sb2O7 | the Alexandria database | GGA-PBE | relaxed; values from VASP
! - Raw formation energy: -1998 meV per atom
! - Calculated volume: 238.04 Å³ per cell
&SYSTEM
  ibrav = 0, nat = 12, ntyp = 4
/
ATOMIC_SPECIES
Rb 85.47 Rb.upf
Al 26.98 Al.upf
Sb 121.76 Sb.upf
O 16.00 O.upf
ATOMIC_POSITIONS crystal
Rb 0.5000 0.5000 0.5000
Al 0.9325 0.9325 0.2025
Al 0.0675 0.0675 0.7975
Sb 0.7238 0.7238 0.8287
Sb 0.2762 0.2762 0.1713
O 0.1401 0.0016 0.2796
O 0.5787 0.1401 0.2796
O 0.0016 0.5787 0.2796
O 0.4213 0.9984 0.7204
O 0.8599 0.4213 0.7204
O 0.0000 0.0000 0.0000
O 0.9984 0.8599 0.7204
CELL_PARAMETERS angstrom
5.6732 0.0000 0.0000
2.8366 4.9132 0.0000
2.8366 1.6377 8.5399


9.
! UHgCl4 | the Alexandria database | GGA-PBE | relaxed; values from VASP
! - Raw formation energy: -1383 meV per atom
! - Calculated volume: 488.65 Å³ per cell
&SYSTEM
  ibrav = 0, nat = 12, ntyp = 3
/
ATOMIC_SPECIES
U 238.03 U.upf
Hg 200.59 Hg.upf
Cl 35.45 Cl.upf
ATOMIC_POSITIONS crystal
U 0.5000 0.0000 0.5000
U 0.0000 0.5000 0.5000
Hg 0.7490 0.9474 0.0000
Hg 0.2510 0.0526 0.0000
Cl 0.3914 0.6860 0.2863
Cl 0.1082 0.3995 0.7137
Cl 0.6086 0.3140 0.7137
Cl 0.8918 0.6005 0.2863
Cl 0.1992 0.1989 0.3901
Cl 0.3008 0.8088 0.6100
Cl 0.8008 0.8011 0.6099
Cl 0.6992 0.1912 0.3900
CELL_PARAMETERS angstrom
7.3611 -0.3584 -1.9064
-0.4968 5.7767 -2.9923
-0.9554 1.8396 10.8144


10.
! Ag2RuBr | the Alexandria database | GGA-PBE | relaxed; values from VASP
! - Excess energy over the best structure of this formula in the dataset: 95 meV per atom
! - Raw formation energy: 567 meV per atom
! - Calculated volume: 77.71 Å³ per cell
&SYSTEM
  ibrav = 0, nat = 4, ntyp = 3
/
ATOMIC_SPECIES
Ru 101.07 Ru.upf
Br 79.90 Br.upf
Ag 107.87 Ag.upf
ATOMIC_POSITIONS crystal
Ru 0.5000 0.5000 0.7500
Br 0.5000 0.5000 0.2500
Ag 0.0000 0.0000 0.9727
Ag 0.0000 0.0000 0.5273
CELL_PARAMETERS angstrom
-0.5913 -1.6743 2.3043
0.4151 -2.5093 -1.7168
8.4414 -0.0572 2.1245


11.
! Dy2TmPd2 | the Alexandria database | GGA-PBE | relaxed; values from VASP
! - Uncorrected energy: -5.562 eV per atom
! - Calculated volume: 237.82 Å³ per cell
&SYSTEM
  ibrav = 0, nat = 10, ntyp = 3
/
ATOMIC_SPECIES
Dy 162.50 Dy.upf
Tm 168.93 Tm.upf
Pd 106.42 Pd.upf
ATOMIC_POSITIONS crystal
Dy 0.5000 0.1656 0.6656
Dy 0.5000 0.6656 0.8344
Dy 0.5000 0.8344 0.3344
Dy 0.5000 0.3344 0.1656
Tm 0.0000 0.0000 0.0000
Tm 0.0000 0.5000 0.5000
Pd 0.0000 0.3664 0.8664
Pd 0.0000 0.8664 0.6336
Pd 0.0000 0.6336 0.1336
Pd 0.0000 0.1336 0.3664
CELL_PARAMETERS angstrom
-1.2881 -1.0699 3.6003
6.7384 -3.5576 1.3537
2.8611 6.5491 2.9698


12.
! H5PtO4 | the Alexandria database | GGA-PBE | relaxed; values from VASP
! - Uncorrected energy: -4.764 eV per atom
! - Calculated volume: 188.75 Å³ per cell
&SYSTEM
  ibrav = 0, nat = 20, ntyp = 3
/
ATOMIC_SPECIES
H 1.01 H.upf
Pt 195.08 Pt.upf
O 16.00 O.upf
ATOMIC_POSITIONS crystal
H 0.2800 0.8593 0.8481
H 0.2800 0.1407 0.8481
H 0.0027 0.5000 0.0000
H 0.2800 0.8593 0.1519
H 0.2800 0.1407 0.1519
H 0.7200 0.6407 0.3481
H 0.7200 0.3593 0.3481
H 0.9973 0.0000 0.5000
H 0.7200 0.3593 0.6519
H 0.7200 0.6407 0.6519
Pt 0.7498 0.0000 0.0000
Pt 0.2502 0.5000 0.5000
O 0.0445 0.0000 0.7404
O 0.3987 0.8144 0.0000
O 0.3987 0.1856 0.0000
O 0.0445 0.0000 0.2596
O 0.9555 0.5000 0.2404
O 0.6013 0.6856 0.5000
O 0.6013 0.3144 0.5000
O 0.9555 0.5000 0.7596
CELL_PARAMETERS angstrom
-3.4966 -3.6083 -0.3365
5.1920 -5.2048 1.8608
-1.0957 0.6160 4.7802